(1)
VASP calculation (PBE) on a relaxed structure of NbAgI3.

Cell lengths 5.703, 5.703, 5.703 Å; angles 90.00, 90.00, 90.00 degrees
Site moments in Bohr magnetons follow the coordinates.
Fractional positions:
I 0.000 0.500 0.000  0.02
I 0.500 0.000 0.000  0.03
I 0.000 0.000 0.500  0.00
Ag 0.500 0.500 0.500  0.09
Nb 0.000 0.000 0.000  1.98

Distance to the lowest polymorph of the same formula: 0 meV/atom
N(E_F): 5.05 states/eV per cell
Symmetry: Pm-3m (221)
ΔE_f (raw): 258 meV per atom
Magnetic moment: 2.8 μB/f.u.

(2)
VASP calculation (PBE) on a relaxed structure of AsIr2Se.

Cell lengths 2.864, 4.976, 4.533 Å; angles 90.00, 90.00, 90.00 degrees
Fractional positions:
Ir 0.000 0.000 0.000
Ir 0.500 0.500 0.000
Se 0.500 0.000 0.500
As 0.000 0.500 0.500

Distance to the lowest polymorph of the same formula: 470 meV/atom
N(E_F): 2.66 states/eV per cell
Symmetry: Pmmm (47)
ΔE_f (raw): 506 meV per atom
Magnetic moment: 0.0 μB/f.u.